A plane-wave DFT calculation with PBE-GGA was carried out for an optimized crystal structure of Ga3PIr.

abc: 4.609 4.609 4.609
angles: 90.00 90.00 90.00
Positions (direct):
1 P 0.000 0.000 0.000
2 Ir 0.500 0.500 0.500
3 Ga 0.000 0.000 0.500
4 Ga 0.000 0.500 0.000
5 Ga 0.500 0.000 0.000

Space-group type   Pm-3m, No. 221



A plane-wave DFT calculation with PBE-GGA was carried out for an optimized crystal structure of ErSbPtAu.

abc: 4.904 4.904 4.904
angles: 60.00 60.00 60.00
Positions (direct):
1 Sb 0.500 0.500 0.500
2 Er 0.000 0.000 0.000
3 Pt 0.750 0.750 0.750
4 Au 0.250 0.250 0.250

Space-group type   F-43m, No. 216



A plane-wave DFT calculation with PBE-GGA was carried out for an optimized crystal structure of La2AgSn4Rh3.

abc: 4.601 4.601 10.792
angles: 90.00 90.00 90.00
Positions (direct):
1 Rh 0.000 0.500 0.126
2 Sn 0.000 0.500 0.366
3 Rh 0.500 0.000 0.874
4 Sn 0.500 0.000 0.634
5 Rh 0.000 0.000 0.500
6 La 0.500 0.000 0.245
7 Sn 0.000 0.000 0.000
8 Sn 0.500 0.500 0.000
9 Ag 0.500 0.500 0.500
10 La 0.000 0.500 0.755

Space-group type   P-4m2, No. 115



A plane-wave DFT calculation with PBE-GGA was carried out for an optimized crystal structure of LiBeC2N.

abc: 3.508 3.593 3.508
angles: 90.00 90.00 90.00
Positions (direct):
1 C 0.000 0.000 0.500
2 Be 0.000 0.000 0.000
3 Li 0.500 0.500 0.500
4 C 0.500 0.000 0.000
5 N 0.000 0.500 0.000

Space-group type   P4/mmm, No. 123



A plane-wave DFT calculation with PBE-GGA was carried out for an optimized crystal structure of In3Ir.

abc: 3.995 5.276 8.790
angles: 90.00 90.00 112.25
Positions (direct):
1 In 0.644 0.287 0.549
2 In 0.644 0.287 0.951
3 Ir 0.230 0.459 0.750
4 In 0.356 0.713 0.451
5 In 0.941 0.883 0.750
6 Ir 0.770 0.541 0.250
7 In 0.356 0.713 0.049
8 In 0.059 0.117 0.250

Space-group type   Cmcm, No. 63



A plane-wave DFT calculation with PBE-GGA was carried out for an optimized crystal structure of Ag2Pb2Br.

abc: 4.036 4.036 8.734
angles: 76.64 76.64 90.00
Positions (direct):
1 Ag 0.750 0.250 0.500
2 Pb 0.610 0.610 0.780
3 Pb 0.390 0.390 0.220
4 Ag 0.250 0.750 0.500
5 Br 0.000 0.000 0.000

Space-group type   I4/mmm, No. 139



A plane-wave DFT calculation with PBE-GGA was carried out for an optimized crystal structure of GeTeOs.

abc: 6.124 3.170 13.281
angles: 90.00 106.83 90.00
Positions (direct):
1 Ge 0.225 0.500 0.980
2 Te 0.247 0.000 0.231
3 Te 0.247 0.500 0.731
4 Ge 0.775 0.000 0.520
5 Te 0.753 0.000 0.769
6 Ge 0.225 0.000 0.480
7 Te 0.753 0.500 0.269
8 Os 0.475 0.000 0.893
9 Os 0.475 0.500 0.393
10 Os 0.525 0.500 0.607
11 Os 0.525 0.000 0.107
12 Ge 0.775 0.500 0.020

Space-group type   C2/m, No. 12



A plane-wave DFT calculation with PBE-GGA was carried out for an optimized crystal structure of YZn5Pd6.

abc: 4.162 7.148 6.625
angles: 90.00 108.26 90.00
Positions (direct):
1 Pd 0.829 0.735 0.658
2 Pd 0.500 0.270 0.000
3 Zn 0.000 0.500 0.000
4 Y 0.000 0.000 0.000
5 Pd 0.171 0.735 0.342
6 Zn 0.335 0.500 0.671
7 Zn 0.665 0.500 0.329
8 Pd 0.500 0.730 0.000
9 Zn 0.323 0.000 0.646
10 Zn 0.677 0.000 0.354
11 Pd 0.829 0.265 0.658
12 Pd 0.171 0.265 0.342

Space-group type   Cmmm, No. 65



A plane-wave DFT calculation with PBE-GGA was carried out for an optimized crystal structure of YTl.

abc: 8.642 8.642 5.778
angles: 90.00 90.00 120.00
Positions (direct):
1 Tl 0.523 0.897 0.750
2 Y 0.201 0.270 0.250
3 Y 0.799 0.730 0.750
4 Y 0.270 0.068 0.750
5 Tl 0.477 0.103 0.250
6 Tl 0.897 0.374 0.250
7 Y 0.730 0.932 0.250
8 Tl 0.103 0.626 0.750
9 Tl 0.374 0.477 0.750
10 Y 0.932 0.201 0.750
11 Y 0.068 0.799 0.250
12 Tl 0.626 0.523 0.250

Space-group type   P6_3/m, No. 176



A plane-wave DFT calculation with PBE-GGA was carried out for an optimized crystal structure of Pa2SeO2.

abc: 6.274 6.274 6.168
angles: 113.74 113.74 102.04
Positions (direct):
1 O 0.110 0.610 0.221
2 Pa 0.454 0.546 0.500
3 Se 0.500 0.500 0.000
4 O 0.390 0.890 0.779
5 Pa 0.046 0.954 0.500
6 Pa 0.204 0.796 0.000
7 O 0.140 0.140 0.279
8 O 0.860 0.860 0.721
9 Pa 0.796 0.204 0.000
10 Se 0.750 0.250 0.500

Space-group type   Fddd, No. 70



A plane-wave DFT calculation with PBE-GGA was carried out for an optimized crystal structure of Nd2Si5Pd3.

abc: 6.012 8.301 8.301
angles: 90.65 68.82 68.82
Positions (direct):
1 Nd 0.266 0.862 0.606
2 Pd 0.109 0.254 0.529
3 Nd 0.734 0.138 0.394
4 Nd 0.766 0.606 0.862
5 Si 0.350 0.036 0.265
6 Pd 0.750 0.000 0.000
7 Si 0.650 0.964 0.735
8 Pd 0.250 0.000 0.000
9 Si 0.850 0.265 0.036
10 Si 0.250 0.500 0.500
11 Pd 0.891 0.746 0.471
12 Nd 0.234 0.394 0.138
13 Si 0.250 0.225 0.775
14 Pd 0.609 0.529 0.254
15 Si 0.250 0.774 0.226
16 Si 0.750 0.500 0.500
17 Si 0.750 0.775 0.225
18 Si 0.150 0.735 0.964
19 Pd 0.391 0.471 0.746
20 Si 0.750 0.226 0.774

Space-group type   Ibam, No. 72



A plane-wave DFT calculation with PBE-GGA was carried out for an optimized crystal structure of DyMg4Sc5.

abc: 3.543 3.543 19.309
angles: 90.00 90.00 90.00
Positions (direct):
1 Mg 0.000 0.000 0.404
2 Dy 0.000 0.000 0.000
3 Sc 0.500 0.500 0.118
4 Sc 0.500 0.500 0.882
5 Sc 0.500 0.500 0.691
6 Mg 0.000 0.000 0.214
7 Mg 0.000 0.000 0.786
8 Sc 0.500 0.500 0.309
9 Sc 0.500 0.500 0.500
10 Mg 0.000 0.000 0.596

Space-group type   P4/mmm, No. 123



Computed electronic total energy (eV/atom) in order:
-3.8853; -5.2125; -5.7404; -4.6904; -4.4080; -2.9568; -6.1353; -4.2687; -4.5287; -8.9049; -6.0537; -4.2809